{
  "formula": "Ca2Pb5Au",
  "functional": "PBE",
  "state": "relaxed",
  "lattice": [[8.2002, 0.0000, 0.0000], [0.0000, 15.1269, 0.0000], [0.0000, 0.0000, 3.7561]],
  "species": ["Ca", "Ca", "Ca", "Ca", "Pb", "Pb", "Pb", "Pb", "Pb", "Pb", "Pb", "Pb", "Pb", "Pb", "Au", "Au"],
  "frac_coords": [[0.2215, 0.1203, 0.0000], [0.2785, 0.6203, 0.0000], [0.7215, 0.3797, 0.0000], [0.7785, 0.8797, 0.0000], [0.0000, 0.5000, 0.5000], [0.0024, 0.2660, 0.5000], [0.2124, 0.8861, 0.0000], [0.2876, 0.3861, 0.0000], [0.4976, 0.7660, 0.5000], [0.5000, 0.0000, 0.5000], [0.5024, 0.2340, 0.5000], [0.7124, 0.6139, 0.0000], [0.7876, 0.1139, 0.0000], [0.9976, 0.7340, 0.5000], [0.0000, 0.0000, 0.5000], [0.5000, 0.5000, 0.5000]],
  "formation_enthalpy_0k_ev_per_atom": -0.3134,
  "magmom_total_mub_per_cell": 0.0
}

{
  "formula": "Ca7Pb2Au2",
  "functional": "PBE",
  "state": "relaxed",
  "lattice": [[4.2603, -5.7589, 0.0000], [4.2603, 5.7589, 0.0000], [0.0000, 0.0000, 7.5751]],
  "species": ["Ca", "Ca", "Ca", "Ca", "Ca", "Ca", "Ca", "Pb", "Pb", "Au", "Au"],
  "frac_coords": [[0.0000, 0.0000, 0.0000], [0.0000, 0.5000, 0.2621], [0.0000, 0.5000, 0.7379], [0.5000, 0.0000, 0.2621], [0.5000, 0.0000, 0.7379], [0.5000, 0.5000, 0.2406], [0.5000, 0.5000, 0.7594], [0.1841, 0.1841, 0.5000], [0.8159, 0.8159, 0.5000], [0.2880, 0.7120, 0.0000], [0.7120, 0.2880, 0.0000]],
  "formation_enthalpy_0k_ev_per_atom": -0.4371,
  "magmom_total_mub_per_cell": 0.0
}

{
  "formula": "Ca2PbAu",
  "functional": "PBE",
  "state": "relaxed",
  "lattice": [[-4.1709, 4.1709, 3.5030], [4.1709, -4.1709, 3.5030], [4.1709, 4.1709, -3.5030]],
  "species": ["Ca", "Ca", "Ca", "Ca", "Pb", "Pb", "Au", "Au"],
  "frac_coords": [[0.0937, 0.6250, 0.9687], [0.3750, 0.3437, 0.4687], [0.6563, 0.1250, 0.0313], [0.8750, 0.9063, 0.5313], [0.2500, 0.7500, 0.5000], [0.5000, 0.5000, 0.0000], [0.0000, 0.0000, 0.0000], [0.7500, 0.2500, 0.5000]],
  "formation_enthalpy_0k_ev_per_atom": -0.3869,
  "magmom_total_mub_per_cell": 0.0
}

{
  "formula": "CaPbAu2",
  "functional": "PBE",
  "state": "relaxed",
  "lattice": [[-1.9767, 2.4591, 4.8647], [1.9767, -2.4591, 4.8647], [1.9767, 2.4591, -4.8647]],
  "species": ["Ca", "Pb", "Au", "Au"],
  "frac_coords": [[0.0000, 0.0000, 0.0000], [0.2760, 0.7760, 0.5000], [0.5152, 0.5152, 0.0000], [0.7370, 0.2370, 0.5000]],
  "formation_enthalpy_0k_ev_per_atom": -0.4254,
  "magmom_total_mub_per_cell": 0.0
}

{
  "formula": "CaPb2Au",
  "functional": "PBE",
  "state": "relaxed",
  "lattice": [[3.6796, 0.0000, 0.0000], [0.0000, 3.6796, 0.0000], [0.0000, 0.0000, 8.1385]],
  "species": ["Ca", "Pb", "Pb", "Au"],
  "frac_coords": [[0.0000, 0.0000, 0.0000], [0.0000, 0.0000, 0.5725], [0.5000, 0.5000, 0.2879], [0.5000, 0.5000, 0.8021]],
  "formation_enthalpy_0k_ev_per_atom": -0.3596,
  "magmom_total_mub_per_cell": 0.0
}

{
  "formula": "CaPb2Au2",
  "functional": "PBE",
  "state": "relaxed",
  "lattice": [[7.7389, 0.0000, 0.0000], [0.0000, 7.7389, 0.0000], [0.0000, 0.0000, 4.3536]],
  "species": ["Ca", "Ca", "Pb", "Pb", "Pb", "Pb", "Au", "Au", "Au", "Au"],
  "frac_coords": [[0.0000, 0.0000, 0.0000], [0.5000, 0.5000, 0.0000], [0.1765, 0.3235, 0.5000], [0.3235, 0.8235, 0.5000], [0.6765, 0.1765, 0.5000], [0.8235, 0.6765, 0.5000], [0.1302, 0.6302, 0.0000], [0.3698, 0.1302, 0.0000], [0.6302, 0.8698, 0.0000], [0.8698, 0.3698, 0.0000]],
  "formation_enthalpy_0k_ev_per_atom": -0.3276,
  "magmom_total_mub_per_cell": 0.0
}

{
  "formula": "CaPbAu2",
  "functional": "PBE",
  "state": "relaxed",
  "lattice": [[3.9874, 0.0000, 0.0000], [0.0000, 4.5066, 0.0000], [-1.9756, 0.0000, 5.5610]],
  "species": ["Ca", "Pb", "Au", "Au"],
  "frac_coords": [[0.0000, 0.0000, 0.0000], [0.7073, 0.5000, 0.4135], [0.2803, 0.0000, 0.5572], [0.4402, 0.5000, 0.8816]],
  "formation_enthalpy_0k_ev_per_atom": -0.4903,
  "magmom_total_mub_per_cell": 0.0
}

{
  "formula": "Ca2PbAu2",
  "functional": "PBE",
  "state": "relaxed",
  "lattice": [[-1.9585, 1.9585, 8.8613], [1.9585, -1.9585, 8.8613], [1.9585, 1.9585, -8.8613]],
  "species": ["Ca", "Ca", "Pb", "Au", "Au"],
  "frac_coords": [[0.1141, 0.1141, 0.0000], [0.8859, 0.8859, 0.0000], [0.5000, 0.5000, 0.0000], [0.2500, 0.7500, 0.5000], [0.7500, 0.2500, 0.5000]],
  "formation_enthalpy_0k_ev_per_atom": -0.5379,
  "magmom_total_mub_per_cell": 0.0
}

{
  "formula": "CaPb2Au",
  "functional": "PBE",
  "state": "relaxed",
  "lattice": [[0.0000, 3.7948, 3.7948], [3.7948, 0.0000, 3.7948], [3.7948, 3.7948, 0.0000]],
  "species": ["Ca", "Pb", "Pb", "Au"],
  "frac_coords": [[0.0000, 0.0000, 0.0000], [0.2500, 0.2500, 0.2500], [0.5000, 0.5000, 0.5000], [0.7500, 0.7500, 0.7500]],
  "formation_enthalpy_0k_ev_per_atom": -0.2902,
  "magmom_total_mub_per_cell": 0.0
}

{
  "formula": "Ca2PbAu",
  "functional": "PBE",
  "state": "relaxed",
  "lattice": [[0.0000, 3.7505, 3.7505], [3.7505, 0.0000, 3.7505], [3.7505, 3.7505, 0.0000]],
  "species": ["Ca", "Ca", "Pb", "Au"],
  "frac_coords": [[0.0000, 0.0000, 0.0000], [0.2500, 0.2500, 0.2500], [0.7500, 0.7500, 0.7500], [0.5000, 0.5000, 0.5000]],
  "formation_enthalpy_0k_ev_per_atom": -0.3487,
  "magmom_total_mub_per_cell": 0.0
}

{
  "formula": "Ca2PbAu",
  "functional": "PBE",
  "state": "relaxed",
  "lattice": [[-2.2709, 2.2709, 5.3046], [2.2709, -2.2709, 5.3046], [2.2709, 2.2709, -5.3046]],
  "species": ["Ca", "Ca", "Pb", "Au"],
  "frac_coords": [[0.0000, 0.0000, 0.0000], [0.7500, 0.2500, 0.5000], [0.2500, 0.7500, 0.5000], [0.5000, 0.5000, 0.0000]],
  "formation_enthalpy_0k_ev_per_atom": -0.4858,
  "magmom_total_mub_per_cell": 0.0
}

{
  "formula": "Ca3PbAu",
  "functional": "PBE",
  "state": "relaxed",
  "lattice": [[5.2896, -7.8581, 0.0000], [5.2896, 7.8581, 0.0000], [0.0000, 0.0000, 3.9816]],
  "species": ["Ca", "Ca", "Ca", "Ca", "Ca", "Ca", "Pb", "Pb", "Au", "Au"],
  "frac_coords": [[0.1702, 0.8298, 0.0000], [0.1902, 0.4216, 0.5000], [0.4216, 0.1902, 0.5000], [0.5784, 0.8098, 0.5000], [0.8098, 0.5784, 0.5000], [0.8298, 0.1702, 0.0000], [0.0000, 0.0000, 0.5000], [0.5000, 0.5000, 0.0000], [0.0000, 0.5000, 0.0000], [0.5000, 0.0000, 0.0000]],
  "e_above_lowest_polymorph_mev_per_atom": 0.0,
  "formation_enthalpy_0k_ev_per_atom": -0.5041,
  "magmom_total_mub_per_cell": 0.0
}

{
  "formula": "CaPbAu2",
  "functional": "PBE",
  "state": "relaxed",
  "lattice": [[0.0000, 3.5693, 3.5693], [3.5693, 0.0000, 3.5693], [3.5693, 3.5693, 0.0000]],
  "species": ["Ca", "Pb", "Au", "Au"],
  "frac_coords": [[0.0000, 0.0000, 0.0000], [0.7500, 0.7500, 0.7500], [0.2500, 0.2500, 0.2500], [0.5000, 0.5000, 0.5000]],
  "formation_enthalpy_0k_ev_per_atom": -0.3652,
  "magmom_total_mub_per_cell": 0.0
}